(1)
# Cs3TeS PBE-GGA relaxed
# - ΔE_f (raw) (eV/f.u.) = -3.66
# - excess energy over the best structure of this formula in the dataset (meV per atom) = 11
data_Cs3TeS
_chemical_formula_sum 'Cs12 Te4 S4'
_symmetry_space_group_name_H-M 'C m c m'
_symmetry_Int_Tables_number 63
_symmetry_space_group_name_Hall '-C 2c 2'
_cell_length_a 8.7579
_cell_length_b 12.3917
_cell_length_c 9.2520
_cell_angle_alpha 90.00
_cell_angle_beta 90.00
_cell_angle_gamma 90.00
loop_
_atom_site_label
_atom_site_fract_x
_atom_site_fract_y
_atom_site_fract_z
Cs1 0.0000 0.2287 0.2500
Cs2 0.2348 0.5000 0.0000
Te1 0.0000 0.2883 0.7500
S1 0.0000 0.0349 0.7500

***

(2)
# K4Re5 PBE-GGA relaxed
# - formation energy from the elements (eV per atom) = 1.689
data_K4Re5
_chemical_formula_sum 'K8 Re10'
_symmetry_space_group_name_H-M 'P 63/m c m'
_symmetry_Int_Tables_number 193
_symmetry_space_group_name_Hall '-P 6c 2'
_cell_length_a 8.9667
_cell_length_b 8.9667
_cell_length_c 5.1665
_cell_angle_alpha 90.00
_cell_angle_beta 90.00
_cell_angle_gamma 120.00
loop_
_atom_site_label
_atom_site_fract_x
_atom_site_fract_y
_atom_site_fract_z
K1 0.0000 0.0000 0.0000
K2 0.0000 0.2612 0.2500
Re1 0.0000 0.4482 0.7500
Re2 0.3333 0.6667 0.0000

***

(3)
# Na2Mg3In2 PBE-GGA relaxed
# - excess energy over the best structure of this formula in the dataset (meV per atom) = 63
# - formation energy from the elements (eV per atom) = 0.028
data_Na2Mg3In2
_chemical_formula_sum 'Na8 Mg12 In8'
_symmetry_space_group_name_H-M 'I 21 3'
_symmetry_Int_Tables_number 199
_symmetry_space_group_name_Hall 'I 2b 2c 3'
_cell_length_a 9.1201
_cell_length_b 9.1201
_cell_length_c 9.1201
_cell_angle_alpha 90.00
_cell_angle_beta 90.00
_cell_angle_gamma 90.00
loop_
_atom_site_label
_atom_site_fract_x
_atom_site_fract_y
_atom_site_fract_z
Na1 0.1613 0.3387 0.6613
Mg1 0.0000 0.2500 0.2779
In1 0.0288 0.0288 0.0288

***

What did the first record say?
# Cs3TeS PBE-GGA relaxed
# - ΔE_f (raw) (eV/f.u.) = -3.66
# - excess energy over the best structure of this formula in the dataset (meV per atom) = 11
data_Cs3TeS
_chemical_formula_sum 'Cs12 Te4 S4'
_symmetry_space_group_name_H-M 'C m c m'
_symmetry_Int_Tables_number 63
_symmetry_space_group_name_Hall '-C 2c 2'
_cell_length_a 8.7579
_cell_length_b 12.3917
_cell_length_c 9.2520
_cell_angle_alpha 90.00
_cell_angle_beta 90.00
_cell_angle_gamma 90.00
loop_
_atom_site_label
_atom_site_fract_x
_atom_site_fract_y
_atom_site_fract_z
Cs1 0.0000 0.2287 0.2500
Cs2 0.2348 0.5000 0.0000
Te1 0.0000 0.2883 0.7500
S1 0.0000 0.0349 0.7500